1.
Density functional theory data (GGA-PBE) for crystalline TlIn2CuSb at its relaxed geometry.

Output
The space group is P4/mmm, No. 123. The formation energy without anion corrections comes out at 0.14 eV/atom.

Cell lengths 5.1523, 5.1523, 5.3094 Å; angles 90.00, 90.00, 90.00 degrees
With the nearest neighbours (Å) after each atom.
Fractional coordinates of all 5 atoms:
1 Tl 0.0000 0.0000 0.0000  4 Sb 3.64, 8 In 3.70
2 In 0.0000 0.5000 0.5000  2 Cu 2.58
3 In 0.5000 0.0000 0.5000  2 Cu 2.58
4 Cu 0.5000 0.5000 0.5000  4 In 2.58, 2 Sb 2.65
5 Sb 0.5000 0.5000 0.0000  2 Cu 2.65

***

2.
Density functional theory data (GGA-PBE) for crystalline Ca2TiSe4 at its relaxed geometry.

Output
The space group is I4/mmm, No. 139. The formation energy without anion corrections comes out at -1.37 eV/atom.

Cell lengths 8.2887, 8.2887, 8.2887 Å; angles 145.56, 145.56, 49.51 degrees
With the nearest neighbours (Å) after each atom.
Fractional coordinates of all 7 atoms:
1 Ca 0.1393 0.1393 0.0000  1 Se 2.83
2 Ca 0.8607 0.8607 0.0000  1 Se 2.83
3 Ti 0.5000 0.5000 0.0000  6 Se 2.45-2.60
4 Se 0.0000 0.5000 0.5000  2 Ti 2.45
5 Se 0.3275 0.3275 0.0000  1 Ti 2.60, 1 Ca 2.83
6 Se 0.5000 0.0000 0.5000  2 Ti 2.45
7 Se 0.6725 0.6725 0.0000  1 Ti 2.60, 1 Ca 2.83

***

3.
Density functional theory data (GGA-PBE) for crystalline BiAsCl2 at its relaxed geometry.

Output
The space group is R-3m, No. 166. The formation energy without anion corrections comes out at -0.16 eV/atom. As for the offset from the most stable computed form: 0.0 meV per atom.

Cell lengths 10.0312, 10.0312, 10.0312 Å; angles 19.56, 19.56, 19.56 degrees
With the nearest neighbours (Å) after each atom.
Fractional coordinates of all 4 atoms:
1 Bi 0.0000 0.0000 0.0000  6 Cl 3.14, 6 Bi 3.41
2 As 0.5000 0.5000 0.5000  2 Cl 2.47
3 Cl 0.4163 0.4163 0.4163  1 As 2.47
4 Cl 0.5837 0.5837 0.5837  1 As 2.47

***

4.
Density functional theory data (GGA-PBE) for crystalline Pr3Al4Au2 at its relaxed geometry.

Output
The energy of formation from the pure elements comes out at -0.60 eV per atom. The space group is C2/m, No. 12.

Cell lengths 5.9912, 5.9912, 8.8596 Å; angles 105.86, 105.86, 44.87 degrees
With the nearest neighbours (Å) after each atom.
Fractional coordinates of all 9 atoms:
1 Pr 0.0000 0.0000 0.0000  8 Al 3.27-3.57
2 Pr 0.3692 0.3692 0.3100  8 Al 3.18-3.41, 4 Au 3.20-3.37
3 Pr 0.6308 0.6308 0.6900  8 Al 3.18-3.41, 4 Au 3.20-3.37
4 Al 0.1005 0.1005 0.4223  3 Au 2.61-2.92
5 Al 0.2754 0.2754 0.9344  1 Au 2.57, 2 Al 2.70
6 Al 0.7246 0.7246 0.0656  1 Au 2.57, 2 Al 2.70
7 Al 0.8995 0.8995 0.5777  3 Au 2.61-2.92
8 Au 0.3388 0.3388 0.6773  3 Al 2.57-2.61
9 Au 0.6612 0.6612 0.3227  3 Al 2.57-2.61

***

5.
Density functional theory data (GGA-PBE) for crystalline Mn2AlRe at its relaxed geometry.

Output
The energy of formation from the pure elements comes out at -0.12 eV per atom. The space group is Imm2, No. 44.

Cell lengths 4.8440, 4.8440, 4.8440 Å; angles 144.45, 129.97, 62.87 degrees
With the nearest neighbours (Å) after each atom.
Fractional coordinates of all 4 atoms:
1 Mn 0.0000 0.0000 0.0000  2 Mn 2.50, 2 Re 2.50, 4 Al 2.53
2 Mn 0.7568 0.2568 0.5000  2 Mn 2.50, 4 Re 2.53, 2 Al 2.54
3 Al 0.5070 0.5070 0.0000  6 Mn 2.53-2.54, 2 Re 2.63
4 Re 0.2438 0.7438 0.5000  6 Mn 2.50-2.53, 2 Al 2.63

***

6.
Density functional theory data (GGA-PBE) for crystalline K3ThBr8 at its relaxed geometry.

Output
The space group is Pm-3m, No. 221. The formation energy without anion corrections comes out at -1.54 eV/atom.

Cell lengths 7.6333, 7.6333, 7.6333 Å; angles 90.00, 90.00, 90.00 degrees
With the nearest neighbours (Å) after each atom.
Fractional coordinates of all 12 atoms:
1 K 0.0000 0.0000 0.5000  8 Br 3.41
2 K 0.0000 0.5000 0.0000  8 Br 3.41
3 K 0.5000 0.0000 0.0000  8 Br 3.41
4 Th 0.5000 0.5000 0.5000  8 Br 3.01
5 Br 0.2722 0.2722 0.2722  1 Th 3.01
6 Br 0.2722 0.2722 0.7278  1 Th 3.01
7 Br 0.2722 0.7278 0.2722  1 Th 3.01
8 Br 0.2722 0.7278 0.7278  1 Th 3.01
9 Br 0.7278 0.2722 0.2722  1 Th 3.01
10 Br 0.7278 0.2722 0.7278  1 Th 3.01
11 Br 0.7278 0.7278 0.2722  1 Th 3.01
12 Br 0.7278 0.7278 0.7278  1 Th 3.01

***

7.
Density functional theory data (GGA-PBE) for crystalline Ta3MnH7 at its relaxed geometry.

Output
The raw total energy comes out at -69.2 eV/f.u. The space group is Cm, No. 8.

Cell lengths 4.3923, 4.3923, 5.3623 Å; angles 113.91, 113.91, 89.53 degrees
With the nearest neighbours (Å) after each atom.
Fractional coordinates of all 11 atoms:
1 Ta 0.0000 0.0000 0.0000  7 H 1.93-1.96
2 Ta 0.2438 0.7541 0.5117  7 H 1.94-1.98
3 Ta 0.7541 0.2438 0.5117  7 H 1.94-1.98
4 Mn 0.4945 0.4945 0.0065  7 H 1.77-1.82
5 H 0.1443 0.6097 0.7740  1 Mn 1.77, 3 Ta 1.93-1.95
6 H 0.3765 0.3765 0.2395  1 Mn 1.78, 3 Ta 1.93-1.98
7 H 0.3807 0.8584 0.2454  1 Mn 1.81, 3 Ta 1.94-1.96
8 H 0.6097 0.1443 0.7740  1 Mn 1.77, 3 Ta 1.93-1.95
9 H 0.6222 0.6222 0.7738  1 Mn 1.82, 3 Ta 1.94-1.96, 1 H 2.04
10 H 0.8504 0.8504 0.2365  1 Mn 1.82, 3 Ta 1.94-1.96, 1 H 2.04
11 H 0.8584 0.3807 0.2454  1 Mn 1.81, 3 Ta 1.94-1.96

***

8.
Density functional theory data (GGA-PBE) for crystalline CeThZn17 at its relaxed geometry.

Output
The energy of formation from the pure elements comes out at -0.22 eV per atom. The space group is R3m, No. 160.

Cell lengths 6.8400, 6.8400, 6.8400 Å; angles 82.87, 82.87, 82.87 degrees
With the nearest neighbours (Å) after each atom.
Fractional coordinates of all 19 atoms:
1 Ce 0.0000 0.0000 0.0000  19 Zn 3.14-3.47
2 Th 0.3260 0.3260 0.3260  19 Zn 3.15-3.46
3 Zn 0.0139 0.0139 0.5030  9 Zn 2.58-2.88
4 Zn 0.0139 0.5030 0.0139  9 Zn 2.58-2.88
5 Zn 0.1627 0.6634 0.6634  10 Zn 2.59-2.76
6 Zn 0.3115 0.3115 0.8241  8 Zn 2.58-2.77
7 Zn 0.3115 0.8241 0.3115  8 Zn 2.58-2.77
8 Zn 0.3696 0.6640 0.9560  8 Zn 2.59-2.77
9 Zn 0.3696 0.9560 0.6640  8 Zn 2.59-2.77
10 Zn 0.5030 0.0139 0.0139  9 Zn 2.58-2.88
11 Zn 0.5639 0.5639 0.5639  7 Zn 2.63-2.89
12 Zn 0.6634 0.1627 0.6634  10 Zn 2.59-2.76
13 Zn 0.6634 0.6634 0.1627  10 Zn 2.59-2.76
14 Zn 0.6640 0.3696 0.9560  8 Zn 2.59-2.77
15 Zn 0.6640 0.9560 0.3696  8 Zn 2.59-2.77
16 Zn 0.7628 0.7628 0.7628  7 Zn 2.63-2.88
17 Zn 0.8241 0.3115 0.3115  8 Zn 2.58-2.77
18 Zn 0.9560 0.3696 0.6640  8 Zn 2.59-2.77
19 Zn 0.9560 0.6640 0.3696  8 Zn 2.59-2.77

***

- What is the formula in the sixth record?
  K3ThBr8

***

- What is the formula in the first record?
  TlIn2CuSb